# 1
The following is a DFT calculation (PBE) of a relaxed structure of Ba2TlInPd.

Lattice parameters (Å, degrees): 6.1324 6.1324 5.1971 90.00 90.00 90.00
With the nearest neighbours (Å) after each atom.
Space group P4/mmm (No. 123)
Unique sites:
Ba  0.0000  0.5000  0.0000 (multiplicity 2)  2 Pd 3.07
Tl  0.0000  0.0000  0.5000 (multiplicity 1)  8 Ba 4.02, 4 In 4.34
In  0.5000  0.5000  0.5000 (multiplicity 1)  2 Pd 2.60
Pd  0.5000  0.5000  0.0000 (multiplicity 1)  2 In 2.60

E_tot = -3.21 eV/atom
V = 39.09 A^3/atom
formation enthalpy at 0 K = -1.916 eV/f.u.
distance to the lowest polymorph of the same formula = 0 meV per atom
crystal system = tetragonal

# 2
The following is a DFT calculation (PBE) of a relaxed structure of Zn8Ag6Au.

Lattice parameters (Å, degrees): 9.0729 9.0729 3.7845 90.00 90.00 120.00
With the nearest neighbours (Å) after each atom.
Space group P-3 (No. 147)
Unique sites:
Zn  0.0365  0.2796  0.2247 (multiplicity 6)  1 Au 2.61, 4 Ag 2.68-2.82
Zn  0.3333  0.6667  0.7536 (multiplicity 2)  6 Ag 2.63
Ag  0.1129  0.6207  0.2543 (multiplicity 6)  6 Zn 2.63-2.82, 2 Ag 2.82-2.87
Au  0.0000  0.0000  0.5000 (multiplicity 1)  6 Zn 2.61

E_tot = -1.98 eV/atom
V = 17.99 A^3/atom
formation enthalpy at 0 K = 0.926 eV/f.u.
crystal system = trigonal